No. 1
Below is an optimized crystal structure of Mg3Cd3Pb2, with properties calculated at the PBE level.

The space-group type is R32. The total energy comes out at -15.006 eV for the cell shown. Its magnetic moment is 0.000 μB per formula unit. The volume comes out at 200.7 Å³/cell.

abc: 5.8552 5.8552 5.8552
angles: 89.80 89.80 89.80
Last column: nearest neighbours and their distance in Å.
Positions (direct):
Mg1 0.0000 0.7329 0.2671  2 Cd 2.93, 4 Pb 3.22-3.26
Mg2 0.2671 0.0000 0.7329  2 Cd 2.93, 4 Pb 3.22-3.26
Mg3 0.7329 0.2671 0.0000  2 Cd 2.93, 4 Pb 3.22-3.26
Cd1 0.2617 0.5000 0.7383  2 Mg 2.93
Cd2 0.5000 0.7383 0.2617  2 Mg 2.93
Cd3 0.7383 0.2617 0.5000  2 Mg 2.93
Pb1 0.2352 0.2352 0.2352  6 Mg 3.22-3.26, 6 Cd 3.30-3.34
Pb2 0.7648 0.7648 0.7648  6 Mg 3.22-3.26, 6 Cd 3.30-3.34


No. 2
Below is an optimized crystal structure of Ce2Pm2Se7, with properties calculated at the PBE level.

The calculation puts the formation energy without anion corrections at -1660 kJ/mol of formula units. The space-group type is Cmmm. The total energy comes out at -62.965 eV for the cell shown. Its magnetic moment is 0.294 μB per formula unit. The volume comes out at 339.8 Å³/cell.

abc: 6.9736 6.9736 7.0113
angles: 90.00 90.00 94.69
Last column: nearest neighbours and their distance in Å.
Positions (direct):
Ce1 0.2315 0.7685 0.0000  7 Se 2.75-2.99
Ce2 0.7685 0.2315 0.0000  7 Se 2.75-2.99
Pm1 0.2279 0.2279 0.5000  6 Se 2.81-3.08
Pm2 0.7721 0.7721 0.5000  6 Se 2.81-3.08
Se1 0.0000 0.0000 0.2418  2 Pm 2.81, 2 Ce 2.92
Se2 0.0000 0.0000 0.7582  2 Pm 2.81, 2 Ce 2.92
Se3 0.0000 0.5000 0.2589  2 Ce 2.99, 2 Pm 3.08
Se4 0.0000 0.5000 0.7411  2 Ce 2.99, 2 Pm 3.08
Se5 0.5000 0.0000 0.2589  2 Ce 2.99, 2 Pm 3.08
Se6 0.5000 0.0000 0.7411  2 Ce 2.99, 2 Pm 3.08
Se7 0.5000 0.5000 0.0000  2 Ce 2.75


No. 3
Below is an optimized crystal structure of ZnCd2Ir, with properties calculated at the PBE level.

The space-group type is P4/mmm. The total energy comes out at -11.247 eV for the cell shown. Its magnetic moment is 0.000 μB per formula unit. The volume comes out at 72.0 Å³/cell.

abc: 2.9874 2.9874 8.0667
angles: 90.00 90.00 90.00
Last column: nearest neighbours and their distance in Å.
Positions (direct):
Zn1 0.0000 0.0000 0.0000  4 Zn 2.99, 8 Cd 3.00
Cd1 0.5000 0.5000 0.2636  4 Ir 2.85, 4 Cd 2.99, 4 Zn 3.00
Cd2 0.5000 0.5000 0.7364  4 Ir 2.85, 4 Cd 2.99, 4 Zn 3.00
Ir1 0.0000 0.0000 0.5000  8 Cd 2.85, 4 Ir 2.99


No. 4
Below is an optimized crystal structure of Fe3Pt, with properties calculated at the PBE level.

The space-group type is Cmcm. The total energy comes out at -62.903 eV for the cell shown. Its magnetic moment is 8.813 μB per formula unit. The volume comes out at 106.0 Å³/cell.

abc: 5.3318 5.3318 4.3763
angles: 90.00 90.00 121.55
Last column: nearest neighbours and their distance in Å.
Positions (direct):
Fe1 0.0785 0.4102 0.7500  8 Fe 2.54-2.72, 4 Pt 2.62-2.71
Fe2 0.0789 0.9211 0.7500  2 Pt 2.60, 10 Fe 2.61-2.72
Fe3 0.4102 0.0785 0.2500  8 Fe 2.54-2.72, 4 Pt 2.62-2.71
Fe4 0.5898 0.9215 0.7500  8 Fe 2.54-2.72, 4 Pt 2.62-2.71
Fe5 0.9211 0.0789 0.2500  2 Pt 2.60, 10 Fe 2.61-2.72
Fe6 0.9215 0.5898 0.2500  8 Fe 2.54-2.72, 4 Pt 2.62-2.71
Pt1 0.4124 0.5876 0.2500  10 Fe 2.60-2.71, 2 Pt 2.73
Pt2 0.5876 0.4124 0.7500  10 Fe 2.60-2.71, 2 Pt 2.73


No. 5
Below is an optimized crystal structure of Fe2TeCl, with properties calculated at the PBE level.

The calculation puts the formation energy without anion corrections at 283 kJ/mol of formula units. The space-group type is Fm-3m. The total energy comes out at -18.981 eV for the cell shown. Its magnetic moment is 0.000 μB per formula unit. The volume comes out at 60.2 Å³/cell.

abc: 4.3987 4.3987 4.3987
angles: 60.00 60.00 60.00
Last column: nearest neighbours and their distance in Å.
Positions (direct):
Fe1 0.2500 0.2500 0.2500  4 Cl 2.69, 4 Te 2.69
Fe2 0.7500 0.7500 0.7500  4 Cl 2.69, 4 Te 2.69
Te1 0.0000 0.0000 0.0000  8 Fe 2.69
Cl1 0.5000 0.5000 0.5000  8 Fe 2.69


No. 6
Below is an optimized crystal structure of CsNa2SbBr6, with properties calculated at the PBE level.

The calculation puts the formation energy without anion corrections at -1181 kJ/mol of formula units. The space-group type is R3. The total energy comes out at -29.887 eV for the cell shown. Its magnetic moment is 0.000 μB per formula unit. The volume comes out at 367.6 Å³/cell.

abc: 8.3575 8.3575 8.3575
angles: 55.29 55.29 55.29
Last column: nearest neighbours and their distance in Å.
Positions (direct):
Cs1 0.0000 0.0000 0.0000  6 Br 3.54-3.84
Na1 0.2035 0.2035 0.2035  6 Br 3.01-3.04
Na2 0.7315 0.7315 0.7315  6 Br 2.97-3.18
Sb1 0.5369 0.5369 0.5369  6 Br 2.80-2.93
Br1 0.1410 0.4672 0.7872  1 Sb 2.93, 2 Na 2.97-3.04
Br2 0.4035 0.9337 0.5264  1 Sb 2.80, 1 Na 3.01
Br3 0.4672 0.7872 0.1410  1 Sb 2.93, 2 Na 2.97-3.04
Br4 0.5264 0.4035 0.9337  1 Sb 2.80, 1 Na 3.01
Br5 0.7872 0.1410 0.4672  1 Sb 2.93, 2 Na 2.97-3.04
Br6 0.9337 0.5264 0.4035  1 Sb 2.80, 1 Na 3.01


No. 7
Below is an optimized crystal structure of PmBe3Ni, with properties calculated at the PBE level.

The space-group type is Pm-3m. The total energy comes out at -22.159 eV for the cell shown. Its magnetic moment is 0.001 μB per formula unit. The volume comes out at 71.2 Å³/cell.

abc: 4.1445 4.1445 4.1445
angles: 90.00 90.00 90.00
Last column: nearest neighbours and their distance in Å.
Positions (direct):
Pm1 0.0000 0.0000 0.0000  12 Be 2.93
Be1 0.0000 0.5000 0.5000  2 Ni 2.07
Be2 0.5000 0.0000 0.5000  2 Ni 2.07
Be3 0.5000 0.5000 0.0000  2 Ni 2.07
Ni1 0.5000 0.5000 0.5000  6 Be 2.07


No. 8
Below is an optimized crystal structure of BaTcIBr2, with properties calculated at the PBE level.

The calculation puts the formation energy without anion corrections at 295 kJ/mol of formula units. The space-group type is P4/mmm. The total energy comes out at -14.125 eV for the cell shown. Its magnetic moment is 4.520 μB per formula unit. The volume comes out at 241.8 Å³/cell.

abc: 6.0759 6.0759 6.5485
angles: 90.00 90.00 90.00
Last column: nearest neighbours and their distance in Å.
Positions (direct):
Ba1 0.0000 0.0000 0.0000  2 I 3.27
Tc1 0.5000 0.5000 0.0000  4 Ba 4.30, 8 Br 4.47
I1 0.0000 0.0000 0.5000  4 Br 3.04, 2 Ba 3.27
Br1 0.0000 0.5000 0.5000  2 I 3.04
Br2 0.5000 0.0000 0.5000  2 I 3.04


No. 9
Below is an optimized crystal structure of CeZrI2, with properties calculated at the PBE level.

The calculation puts the formation energy without anion corrections at -127 kJ/mol of formula units. The space-group type is R-3m. The total energy comes out at -18.902 eV for the cell shown. Its magnetic moment is 1.459 μB per formula unit. The volume comes out at 122.7 Å³/cell.

abc: 10.8809 10.8809 10.8809
angles: 19.27 19.27 19.27
Last column: nearest neighbours and their distance in Å.
Positions (direct):
Ce1 0.0000 0.0000 0.0000  2 I 3.24
Zr1 0.5000 0.5000 0.5000  6 I 2.97
I1 0.1012 0.1012 0.1012  3 Zr 2.97, 1 Ce 3.24
I2 0.8988 0.8988 0.8988  3 Zr 2.97, 1 Ce 3.24


No. 10
Below is an optimized crystal structure of Pm4Dy5Ag, with properties calculated at the PBE level.

The space-group type is P4/mmm. The total energy comes out at -45.308 eV for the cell shown. Its magnetic moment is 0.000 μB per formula unit. The volume comes out at 312.1 Å³/cell.

abc: 3.5956 3.5956 24.1431
angles: 90.00 90.00 90.00
Last column: nearest neighbours and their distance in Å.
Positions (direct):
Pm1 0.0000 0.0000 0.1051  8 Dy 3.59-3.60, 4 Pm 3.60
Pm2 0.0000 0.0000 0.3155  8 Dy 3.58-3.62, 4 Pm 3.60
Pm3 0.0000 0.0000 0.6845  8 Dy 3.58-3.62, 4 Pm 3.60
Pm4 0.0000 0.0000 0.8949  8 Dy 3.59-3.60, 4 Pm 3.60
Dy1 0.5000 0.5000 0.0000  8 Pm 3.59, 4 Dy 3.60
Dy2 0.5000 0.5000 0.2109  8 Pm 3.58-3.60, 4 Dy 3.60
Dy3 0.5000 0.5000 0.4225  4 Ag 3.16
Dy4 0.5000 0.5000 0.5775  4 Ag 3.16
Dy5 0.5000 0.5000 0.7891  8 Pm 3.58-3.60, 4 Dy 3.60
Ag1 0.0000 0.0000 0.5000  8 Dy 3.16


No. 11
Below is an optimized crystal structure of DyPuGa2, with properties calculated at the PBE level.

The space-group type is Fm-3m. The total energy comes out at -26.638 eV for the cell shown. Its magnetic moment is 5.634 μB per formula unit. The volume comes out at 91.5 Å³/cell.

abc: 5.0585 5.0585 5.0585
angles: 60.00 60.00 60.00
Last column: nearest neighbours and their distance in Å.
Positions (direct):
Dy1 0.0000 0.0000 0.0000  8 Ga 3.10
Pu1 0.5000 0.5000 0.5000  8 Ga 3.10
Ga1 0.2500 0.2500 0.2500  4 Dy 3.10, 4 Pu 3.10
Ga2 0.7500 0.7500 0.7500  4 Dy 3.10, 4 Pu 3.10


No. 12
Below is an optimized crystal structure of Mg2RePb, with properties calculated at the PBE level.

The space-group type is C2/m. The total energy comes out at -17.013 eV for the cell shown. Its magnetic moment is 0.000 μB per formula unit. The volume comes out at 80.0 Å³/cell.

abc: 5.1940 5.1940 5.5126
angles: 96.59 96.59 32.80
Last column: nearest neighbours and their distance in Å.
Positions (direct):
Mg1 0.2400 0.2400 0.2268  4 Mg 2.93, 3 Re 2.95-3.01, 3 Pb 2.97-3.19
Mg2 0.7600 0.7600 0.7732  4 Mg 2.93, 3 Re 2.95-3.01, 3 Pb 2.97-3.19
Re1 0.5000 0.5000 0.0000  2 Re 2.93, 6 Mg 2.95-3.01, 4 Pb 3.12
Pb1 0.0000 0.0000 0.5000  2 Pb 2.93, 6 Mg 2.97-3.19, 4 Re 3.12